1.
CaUPa2Sb4 | PBE | optimized geometry

Properties
Raw formation energy ... -500.6 meV/atom
Density of states at the Fermi level ... 2.286 states/eV/atom
Calculated density ... 8.5 g/cm3
Space-group type ... I-4m2 (119)
Spin magnetization ... 4.56 μB per formula unit

Cell: 6.2173 6.2172 7.6283 Å, 114.03 114.05 90.00°
Site moments in Bohr magnetons follow the coordinates.
Sites, in units of the cell vectors:
Sb  0.2475  0.2475  0.4950  -0.04
Ca  0.5000  0.5000  0.0000  0.00
Sb  0.0008  0.5009  0.0017  -0.04
Pa  0.0000  0.0001  0.0000  0.76
Sb  0.4992  0.9991  0.9983  -0.04
U  0.7500  0.2500  0.5000  2.53
Pa  0.2500  0.7500  0.5000  0.79
Sb  0.7525  0.7525  0.5050  -0.04

---

2.
RePtAu2 | PBE | optimized geometry

Properties
DFT formation energy ... 0.567 eV per atom
Density of states at the Fermi level ... 1.212 states/eV/atom
Calculated density ... 19.1 g/cm3
Space-group type ... P4/mmm (123)
Spin magnetization ... 1.12 μB per formula unit

Cell: 4.9422 4.9422 2.7614 Å, 90.00 90.00 90.00°
Site moments in Bohr magnetons follow the coordinates.
Sites, in units of the cell vectors:
Re  0.0000  0.5000  0.5000  0.77
Pt  0.5000  0.0000  0.5000  0.17
Au  0.5000  0.5000  0.0000  0.05
Au  0.0000  0.0000  0.0000  0.05

---

3.
LiRuCl2 | PBE | optimized geometry

Properties
Raw formation energy ... -258.4 meV/atom
Density of states at the Fermi level ... 0.510 states/eV/atom
Calculated density ... 4.3 g/cm3
Space-group type ... Cmmm (65)
Spin magnetization ... 0.26 μB per formula unit

Cell: 3.4432 3.4432 6.7693 Å, 90.00 90.00 119.44°
Site moments in Bohr magnetons follow the coordinates.
Sites, in units of the cell vectors:
Cl  0.0000  0.0000  0.5012  0.00
Cl  0.0000  0.0000  0.9988  0.00
Li  0.5000  0.5000  0.2500  0.00
Ru  0.5000  0.5000  0.7500  0.24

---

Please write out number 2 again, unchanged.
RePtAu2 | PBE | optimized geometry

Properties
DFT formation energy ... 0.567 eV per atom
Density of states at the Fermi level ... 1.212 states/eV/atom
Calculated density ... 19.1 g/cm3
Space-group type ... P4/mmm (123)
Spin magnetization ... 1.12 μB per formula unit

Cell: 4.9422 4.9422 2.7614 Å, 90.00 90.00 90.00°
Site moments in Bohr magnetons follow the coordinates.
Sites, in units of the cell vectors:
Re  0.0000  0.5000  0.5000  0.77
Pt  0.5000  0.0000  0.5000  0.17
Au  0.5000  0.5000  0.0000  0.05
Au  0.0000  0.0000  0.0000  0.05

---

Q: spin magnetization of number 3 (LiRuCl2)?
A: 0.26 μB per formula unit

---

Q: Number 1 is which compound?
A: CaUPa2Sb4